1.
! GGA-PBE La15Dy4Y, relaxed; values from VASP
! formation energy from the elements: 0.008 eV per atom
! calculated volume: 707.46 Å³ per cell
! M_tot: 0.00 Bohr magnetons per cell
&SYSTEM
  ibrav = 0, nat = 20, ntyp = 3
/
ATOMIC_SPECIES
La 138.91 La.upf
Dy 162.50 Dy.upf
Y 88.91 Y.upf
ATOMIC_POSITIONS crystal
La 0.0000 0.0000 0.0000
La 0.0000 0.0000 0.2002
La 0.0000 0.0000 0.4000
La 0.0000 0.0000 0.6000
La 0.0000 0.0000 0.7998
La 0.0000 0.5000 0.1004
La 0.0000 0.5000 0.3001
La 0.0000 0.5000 0.5000
La 0.0000 0.5000 0.6999
La 0.0000 0.5000 0.8996
La 0.5000 0.0000 0.1004
La 0.5000 0.0000 0.3001
La 0.5000 0.0000 0.5000
La 0.5000 0.0000 0.6999
La 0.5000 0.0000 0.8996
Dy 0.5000 0.5000 0.2001
Dy 0.5000 0.5000 0.4001
Dy 0.5000 0.5000 0.5999
Dy 0.5000 0.5000 0.7999
Y 0.5000 0.5000 0.0000
CELL_PARAMETERS angstrom
5.2107 0.0000 0.0000
0.0000 5.2107 0.0000
0.0000 0.0000 26.0558



2.
! GGA-PBE LaDy3Y2, relaxed; values from VASP
! formation energy from the elements: 0.219 eV per atom
! calculated volume: 400.71 Å³ per cell
! M_tot: 0.00 Bohr magnetons per cell
! energy above the lowest structure with this stoichiometry: 196 meV/atom
&SYSTEM
  ibrav = 0, nat = 12, ntyp = 3
/
ATOMIC_SPECIES
La 138.91 La.upf
Dy 162.50 Dy.upf
Y 88.91 Y.upf
ATOMIC_POSITIONS crystal
La 0.1766 0.8234 0.5000
La 0.8234 0.1766 0.0000
Dy 0.0809 0.9191 0.0277
Dy 0.1225 0.5165 0.8342
Dy 0.4835 0.8775 0.8342
Dy 0.5165 0.1225 0.3342
Dy 0.8775 0.4835 0.3342
Dy 0.9191 0.0809 0.5277
Y 0.2611 0.3756 0.2863
Y 0.3756 0.2611 0.7863
Y 0.6244 0.7389 0.2863
Y 0.7389 0.6244 0.7863
CELL_PARAMETERS angstrom
4.7743 -6.6028 0.0000
4.7743 6.6028 0.0000
0.0000 0.0000 6.3556